# 1
First-principles (PBE) data for LiHo3 after structural relaxation, as listed in Alexandria.

```
LiHo3
1.0
4.855 0.000 0.000
0.000 4.855 0.000
0.000 0.000 4.855
Li Ho
1 3
Direct
0.000 0.000 0.000 Li
0.500 0.500 0.000 Ho
0.500 0.000 0.500 Ho
0.000 0.500 0.500 Ho
```

Computed properties:
symmetry = No. 221
DFT formation energy = 0.200 eV/atom
E = -3.711 eV per atom
N(E_F) = 6.59 states/eV/cell
energy relative to the lowest polymorph listed for this composition = 0.49 eV per formula unit

---

# 2
First-principles (PBE) data for LiHo3 after structural relaxation, as listed in Alexandria.

```
LiHo3
1.0
-1.820 3.237 -0.027
-4.622 -2.588 1.266
4.328 0.343 4.787
Ho Li
3 1
Direct
0.275 0.691 0.549 Ho
0.500 0.417 0.000 Ho
0.725 0.142 0.451 Ho
0.000 0.917 0.000 Li
```

Computed properties:
symmetry = No. 71
DFT formation energy = 0.078 eV/atom
E = -3.834 eV per atom
N(E_F) = 5.11 states/eV/cell
energy relative to the lowest polymorph listed for this composition = 0.00 eV per formula unit

---

# 3
First-principles (PBE) data for LiHo3 after structural relaxation, as listed in Alexandria.

```
LiHo3
1.0
3.487 -6.039 0.000
3.487 6.039 0.000
0.000 0.000 5.491
Li Ho
2 6
Direct
0.667 0.333 0.250 Li
0.333 0.667 0.750 Li
0.832 0.168 0.750 Ho
0.336 0.168 0.750 Ho
0.832 0.664 0.750 Ho
0.168 0.832 0.250 Ho
0.664 0.832 0.250 Ho
0.168 0.336 0.250 Ho
```

Computed properties:
symmetry = No. 194
DFT formation energy = 0.184 eV/atom
E = -3.728 eV per atom
N(E_F) = 12.52 states/eV/cell
energy relative to the lowest polymorph listed for this composition = 0.42 eV per formula unit

---

# 4
First-principles (PBE) data for Li4Ho after structural relaxation, as listed in Alexandria.

```
Li4Ho
1.0
5.694 0.000 0.000
0.000 5.694 0.000
0.000 0.000 5.694
Ho Li
1 4
Direct
0.500 0.500 0.500 Ho
0.000 0.000 0.000 Li
0.500 0.000 0.500 Li
0.000 0.500 0.500 Li
0.500 0.500 0.000 Li
```

Computed properties:
symmetry = No. 221
DFT formation energy = 0.953 eV/atom
E = -1.494 eV per atom
N(E_F) = 6.92 states/eV/cell

---

# 5
First-principles (PBE) data for Li2Ho after structural relaxation, as listed in Alexandria.

```
Li2Ho
1.0
3.292 0.163 -0.308
1.588 2.898 0.476
-0.791 0.961 8.378
Li Ho
2 1
Direct
0.292 0.348 0.899 Li
0.271 0.703 0.207 Li
0.282 0.025 0.553 Ho
```

Computed properties:
symmetry = No. 2
DFT formation energy = 0.133 eV/atom
E = -2.669 eV per atom
N(E_F) = 2.59 states/eV/cell
energy relative to the lowest polymorph listed for this composition = 0.04 eV per formula unit

---

# 6
First-principles (PBE) data for Li3Ho after structural relaxation, as listed in Alexandria.

```
Li3Ho
1.0
-1.683 -2.457 -3.236
0.529 -3.605 2.462
-3.746 3.624 2.185
Ho Li
1 3
Direct
0.000 0.000 0.000 Ho
0.750 0.250 0.500 Li
0.250 0.750 0.500 Li
0.500 0.500 0.000 Li
```

Computed properties:
symmetry = No. 139
DFT formation energy = 0.204 eV/atom
E = -2.376 eV per atom
N(E_F) = 3.25 states/eV/cell
energy relative to the lowest polymorph listed for this composition = 0.62 eV per formula unit

---

# 7
First-principles (PBE) data for Li3Ho after structural relaxation, as listed in Alexandria.

```
Li3Ho
1.0
3.351 0.000 0.000
0.000 5.372 0.000
-1.675 -2.686 5.064
Ho Li
1 3
Direct
0.000 0.916 0.000 Ho
0.225 0.642 0.450 Li
0.500 0.416 0.000 Li
0.775 0.192 0.550 Li
```

Computed properties:
symmetry = No. 71
DFT formation energy = 0.155 eV/atom
E = -2.425 eV per atom
N(E_F) = 2.82 states/eV/cell
energy relative to the lowest polymorph listed for this composition = 0.42 eV per formula unit

---

# 8
First-principles (PBE) data for LiHo3 after structural relaxation, as listed in Alexandria.

```
LiHo3
1.0
-0.849 -3.192 0.763
2.127 -1.111 -2.284
7.733 -0.300 7.350
Ho Li
3 1
Direct
0.000 0.500 0.472 Ho
0.500 0.500 0.191 Ho
0.500 0.000 0.705 Ho
0.000 0.000 0.965 Li
```

Computed properties:
symmetry = No. 25
DFT formation energy = 0.284 eV/atom
E = -3.628 eV per atom
N(E_F) = 5.93 states/eV/cell
energy relative to the lowest polymorph listed for this composition = 0.82 eV per formula unit

---

no.,total magnetization (Bohr magnetons per cell)
1,0.0
2,0.0
3,0.8
4,1.2
5,0.0
6,0.0
7,0.0
8,0.4